# 1
# TmFe5P3 | the Alexandria database | PBE | relaxed
data_TmFe5P3
_chemical_formula_sum 'Tm2 Fe10 P6'
_cell_length_a 3.6929
_cell_length_b 6.2223
_cell_length_c 10.6513
_cell_angle_alpha 90.00
_cell_angle_beta 90.00
_cell_angle_gamma 107.26
_space_group_name_H-M_alt 'P 1'
_space_group_IT_number 1
_space_group_name_Hall 'P 1'
loop_
_atom_site_label
_atom_site_type_symbol
_atom_site_fract_x
_atom_site_fract_y
_atom_site_fract_z
_atom_site_occupancy
Tm1 Tm 0.8247 0.6493 0.7500 1
Tm2 Tm 0.1753 0.3507 0.2500 1
Fe1 Fe 0.8092 0.6184 0.4364 1
Fe2 Fe 0.1908 0.3816 0.9364 1
Fe3 Fe 0.0000 0.0000 0.5000 1
Fe4 Fe 0.0000 0.0000 0.0000 1
Fe5 Fe 0.4597 0.9194 0.1390 1
Fe6 Fe 0.5403 0.0806 0.8610 1
Fe7 Fe 0.5403 0.0806 0.6390 1
Fe8 Fe 0.8092 0.6184 0.0636 1
Fe9 Fe 0.1908 0.3816 0.5636 1
Fe10 Fe 0.4597 0.9194 0.3610 1
P1 P 0.3694 0.7388 0.9532 1
P2 P 0.8929 0.7858 0.2500 1
P3 P 0.3694 0.7388 0.5468 1
P4 P 0.6306 0.2612 0.4532 1
P5 P 0.1071 0.2142 0.7500 1
P6 P 0.6306 0.2612 0.0468 1
# * calculated formation energy: -557 kJ/mol of formula units
# * space-group type: Cmcm (63)
# * crystal system: orthorhombic
# * distance to the lowest polymorph of the same formula: 111 meV/atom
# * electronic total energy: -137.6 eV for the cell shown

---

# 2
# La3Sm4TmS8 | the Alexandria database | PBE | relaxed
data_La3Sm4TmS8
_chemical_formula_sum 'La3 Sm4 Tm1 S8'
_cell_length_a 8.1023
_cell_length_b 8.0839
_cell_length_c 8.1027
_cell_angle_alpha 120.08
_cell_angle_beta 120.00
_cell_angle_gamma 90.00
_space_group_name_H-M_alt 'P 1'
_space_group_IT_number 1
_space_group_name_Hall 'P 1'
loop_
_atom_site_label
_atom_site_type_symbol
_atom_site_fract_x
_atom_site_fract_y
_atom_site_fract_z
_atom_site_occupancy
La1 La 0.5000 0.5000 0.0000 1
La2 La 0.5000 0.5000 0.5000 1
La3 La 0.0000 0.5000 0.5000 1
Sm1 Sm 0.5000 0.0000 0.0000 1
Sm2 Sm 0.5000 0.0000 0.5000 1
Sm3 Sm 0.0000 0.0000 0.0000 1
Sm4 Sm 0.0000 0.0000 0.5000 1
Tm1 Tm 0.0000 0.5000 0.0000 1
S1 S 0.2436 0.7503 0.0067 1
S2 S 0.2436 0.7503 0.4872 1
S3 S 0.2465 0.2394 0.4929 1
S4 S 0.7631 0.7503 0.0067 1
S5 S 0.2369 0.2497 0.9933 1
S6 S 0.7535 0.7606 0.5071 1
S7 S 0.7564 0.2497 0.5128 1
S8 S 0.7564 0.2497 0.9933 1
# * space-group type: R-3m (166)
# * crystal system: trigonal
# * electronic total energy: -104.0 eV for the cell shown

---

# 3
# PmPt12 | the Alexandria database | PBE | relaxed
data_PmPt12
_chemical_formula_sum 'Pm1 Pt12'
_cell_length_a 5.4186
_cell_length_b 6.9752
_cell_length_c 6.9752
_cell_angle_alpha 81.32
_cell_angle_beta 67.14
_cell_angle_gamma 67.14
_space_group_name_H-M_alt 'P 1'
_space_group_IT_number 1
_space_group_name_Hall 'P 1'
loop_
_atom_site_label
_atom_site_type_symbol
_atom_site_fract_x
_atom_site_fract_y
_atom_site_fract_z
_atom_site_occupancy
Pm1 Pm 0.0000 0.0000 0.0000 1
Pt1 Pt 0.5000 0.0000 0.5000 1
Pt2 Pt 0.0000 0.0000 0.5000 1
Pt3 Pt 0.5000 0.5000 0.0000 1
Pt4 Pt 0.0000 0.5000 0.0000 1
Pt5 Pt 0.0000 0.6544 0.3456 1
Pt6 Pt 0.0000 0.3456 0.6544 1
Pt7 Pt 0.6544 0.3456 0.3456 1
Pt8 Pt 0.3456 0.6544 0.6544 1
Pt9 Pt 0.5000 0.2170 0.7830 1
Pt10 Pt 0.5000 0.7830 0.2170 1
Pt11 Pt 0.7170 0.7830 0.7830 1
Pt12 Pt 0.2830 0.2170 0.2170 1
# * calculated formation energy: -327 kJ/mol of formula units
# * space-group type: I4/mmm (139)
# * crystal system: tetragonal
# * electronic total energy: -80.6 eV for the cell shown

---

# 4
# NiSbOs2 | the Alexandria database | PBE | relaxed
data_NiSbOs2
_chemical_formula_sum 'Ni1 Sb1 Os2'
_cell_length_a 2.8629
_cell_length_b 2.8629
_cell_length_c 9.1467
_cell_angle_alpha 90.00
_cell_angle_beta 90.00
_cell_angle_gamma 120.16
_space_group_name_H-M_alt 'P 1'
_space_group_IT_number 1
_space_group_name_Hall 'P 1'
loop_
_atom_site_label
_atom_site_type_symbol
_atom_site_fract_x
_atom_site_fract_y
_atom_site_fract_z
_atom_site_occupancy
Ni1 Ni 0.5000 0.5000 0.7634 1
Os1 Os 0.0000 0.0000 0.9953 1
Os2 Os 0.5000 0.5000 0.2298 1
Sb1 Sb 0.0000 0.0000 0.5116 1
# * space-group type: Cmm2 (35)
# * crystal system: orthorhombic
# * electronic total energy: -29.1 eV for the cell shown

---

Question: Among the records above, which one has the highest electronic total energy?
Answer: NiSbOs2

---

Question: electronic total energy of number 2 (La3Sm4TmS8)?
Answer: -104.0 eV for the cell shown

---

Please write out number 3 again, unchanged.
# PmPt12 | the Alexandria database | PBE | relaxed
data_PmPt12
_chemical_formula_sum 'Pm1 Pt12'
_cell_length_a 5.4186
_cell_length_b 6.9752
_cell_length_c 6.9752
_cell_angle_alpha 81.32
_cell_angle_beta 67.14
_cell_angle_gamma 67.14
_space_group_name_H-M_alt 'P 1'
_space_group_IT_number 1
_space_group_name_Hall 'P 1'
loop_
_atom_site_label
_atom_site_type_symbol
_atom_site_fract_x
_atom_site_fract_y
_atom_site_fract_z
_atom_site_occupancy
Pm1 Pm 0.0000 0.0000 0.0000 1
Pt1 Pt 0.5000 0.0000 0.5000 1
Pt2 Pt 0.0000 0.0000 0.5000 1
Pt3 Pt 0.5000 0.5000 0.0000 1
Pt4 Pt 0.0000 0.5000 0.0000 1
Pt5 Pt 0.0000 0.6544 0.3456 1
Pt6 Pt 0.0000 0.3456 0.6544 1
Pt7 Pt 0.6544 0.3456 0.3456 1
Pt8 Pt 0.3456 0.6544 0.6544 1
Pt9 Pt 0.5000 0.2170 0.7830 1
Pt10 Pt 0.5000 0.7830 0.2170 1
Pt11 Pt 0.7170 0.7830 0.7830 1
Pt12 Pt 0.2830 0.2170 0.2170 1
# * calculated formation energy: -327 kJ/mol of formula units
# * space-group type: I4/mmm (139)
# * crystal system: tetragonal
# * electronic total energy: -80.6 eV for the cell shown